# 1
First-principles (GGA-PBE) data for a geometry-optimized CsHg3Au structure, as listed in Alexandria.

Cell and atoms, written as CIF:
```
data_CsHg3Au
_chemical_formula_sum 'Cs1 Hg3 Au1'
_cell_length_a 5.352
_cell_length_b 5.352
_cell_length_c 6.878
_cell_angle_alpha 112.87
_cell_angle_beta 112.87
_cell_angle_gamma 89.39
_symmetry_space_group_name_H-M 'P 1'
_symmetry_Int_Tables_number 1
_symmetry_space_group_name_Hall 'P 1'
loop_
_atom_site_label
_atom_site_type_symbol
_atom_site_fract_x
_atom_site_fract_y
_atom_site_fract_z
Hg1 Hg 0.010 0.010 0.017
Hg2 Hg 0.660 0.162 0.322
Cs1 Cs 0.407 0.407 0.813
Au1 Au 0.759 0.759 0.519
Hg3 Hg 0.162 0.660 0.322
```

---

# 2
First-principles (GGA-PBE) data for a geometry-optimized GaAg2Sn2 structure, as listed in Alexandria.

Cell and atoms, written as CIF:
```
data_GaAg2Sn2
_chemical_formula_sum 'Ga2 Ag4 Sn4'
_cell_length_a 7.986
_cell_length_b 7.986
_cell_length_c 3.587
_cell_angle_alpha 90.00
_cell_angle_beta 90.00
_cell_angle_gamma 90.00
_symmetry_space_group_name_H-M 'P 1'
_symmetry_Int_Tables_number 1
_symmetry_space_group_name_Hall 'P 1'
loop_
_atom_site_label
_atom_site_type_symbol
_atom_site_fract_x
_atom_site_fract_y
_atom_site_fract_z
Sn1 Sn 0.175 0.675 0.500
Ag1 Ag 0.374 0.874 0.000
Sn2 Sn 0.325 0.175 0.500
Ga1 Ga 0.500 0.500 0.000
Ga2 Ga 0.000 0.000 0.000
Sn3 Sn 0.675 0.825 0.500
Ag2 Ag 0.874 0.626 0.000
Ag3 Ag 0.626 0.126 0.000
Sn4 Sn 0.825 0.325 0.500
Ag4 Ag 0.126 0.374 0.000
```

---

no.,VASP energy (eV per atom),formation energy from the elements (eV per atom)
1,-1.231,-0.2239
2,-3.219,0.1282